[1]
Computed, not measured: a geometry-optimized Zr2TeRu structure at the PBE level of DFT.

Unit cell a=5.946 b=7.758 c=3.464 alpha=90.00 beta=90.00 gamma=90.00
Space group Cmmm (No. 65)
Symmetry-distinct sites (fractional):
Zr1 0.250 0.250 0.000 (multiplicity 4)
Te1 0.000 0.000 0.500 (multiplicity 2)
Ru1 0.000 0.500 0.500 (multiplicity 2)

## Properties
Crystal system = orthorhombic
Size of the total moment = 0.0 μB/f.u.


[2]
Computed, not measured: a geometry-optimized Zr2TeRu structure at the PBE level of DFT.

Unit cell a=7.577 b=7.577 c=6.069 alpha=90.00 beta=90.00 gamma=90.00
Space group I-42d (No. 122)
Symmetry-distinct sites (fractional):
Zr1 0.213 0.250 0.125 (multiplicity 8)
Te1 0.000 0.000 0.500 (multiplicity 4)
Ru1 0.000 0.000 0.000 (multiplicity 4)

## Properties
Crystal system = tetragonal
Size of the total moment = 0.0 μB/f.u.


[3]
Computed, not measured: a geometry-optimized ZrTeRu structure at the PBE level of DFT.

Unit cell a=3.3810 b=3.3810 c=6.5024 alpha=90.00 beta=90.00 gamma=120.00
Space group P3m1 (No. 156)
Symmetry-distinct sites (fractional):
Zr1 0.0000 0.0000 0.0000 (multiplicity 1)
Te1 0.3333 0.6667 0.6265 (multiplicity 1)
Ru1 0.6667 0.3333 0.2691 (multiplicity 1)

## Properties
Crystal system = trigonal
Size of the total moment = 0.0 μB/f.u.


[4]
Computed, not measured: a geometry-optimized ZrTeRu4 structure at the PBE level of DFT.

Unit cell a=7.410 b=7.410 c=7.410 alpha=90.00 beta=90.00 gamma=90.00
Space group F-43m (No. 216)
Symmetry-distinct sites (fractional):
Zr1 0.000 0.000 0.000 (multiplicity 4)
Te1 0.250 0.250 0.250 (multiplicity 4)
Ru1 0.125 0.125 0.625 (multiplicity 16)

## Properties
Crystal system = cubic
Size of the total moment = 0.0 μB/f.u.


[5]
Computed, not measured: a geometry-optimized Zr3TeRu structure at the PBE level of DFT.

Unit cell a=5.162 b=5.162 c=5.162 alpha=90.00 beta=90.00 gamma=90.00
Space group Pm-3m (No. 221)
Symmetry-distinct sites (fractional):
Zr1 0.000 0.000 0.500 (multiplicity 3)
Te1 0.000 0.000 0.000 (multiplicity 1)
Ru1 0.500 0.500 0.500 (multiplicity 1)

## Properties
Energy above the lowest structure with this stoichiometry = 1.054 eV per atom
Crystal system = cubic
Size of the total moment = 0.0 μB/f.u.


[6]
Computed, not measured: a geometry-optimized ZrTeRu2 structure at the PBE level of DFT.

Unit cell a=3.928 b=3.928 c=9.035 alpha=90.00 beta=90.00 gamma=90.00
Space group I-4m2 (No. 119)
Symmetry-distinct sites (fractional):
Zr1 0.000 0.000 0.000 (multiplicity 2)
Te1 0.000 0.500 0.750 (multiplicity 2)
Ru1 0.000 0.000 0.500 (multiplicity 2)
Ru2 0.000 0.500 0.250 (multiplicity 2)

## Properties
Crystal system = tetragonal
Size of the total moment = 0.0 μB/f.u.


no.,V (Å³/cell),final energy (eV/cell),formation energy (no corrections) (meV/atom)
1,160,-62.2,-397
2,348,-121.0,-185
3,64,-21.1,-61
4,407,-191.7,144
5,138,-32.6,1095
6,139,-61.7,-154